The following is a DFT calculation (PBE-GGA) of a relaxed LiScTe2 crystal.

Cell lengths 3.735, 4.503, 5.901 Å; angles 90.00, 90.00, 90.00 degrees
Space group Pmmm (No. 47)
Inequivalent atoms, fractional coordinates:
Li: 0.000 0.000 0.000 [1 per cell]
Sc: 0.000 0.500 0.500 [1 per cell]
Te: 0.500 0.000 0.500 [1 per cell]
Te: 0.500 0.500 0.000 [1 per cell]

E_form (uncorrected): -3.1 eV per formula unit
Total magnetic moment: 0.000 μB per formula unit
Fermi-level density of states: 1.5 states/eV per cell
Energy: -4.400 eV per atom